DFT (PBE) results for crystalline Cs3O at its relaxed geometry.

Values from the calculation:
E_form (uncorrected): -0.723 eV/atom
DOS(E_F): 0.456 states/eV per atom
energy above the most stable polymorph in this dataset: 0.062 eV per atom
calculated total energy: -20.8 eV per cell

a = 13.1813 Å, b = 13.1813 Å, c = 3.9156 Å
α = 90.00°, β = 90.00°, γ = 120.00°
Space group P6_3/m (No. 176)
Asymmetric unit:
Cs  0.2386  0.4785  0.2500
O  0.3333  0.6667  0.7500